Material: SmYEr2Sc
Method: DFT, PBE-GGA
State: relaxed

It has space group Cmcm (No. 63), with a = 8.135 Å, b = 11.218 Å, c = 7.060 Å, α = 90.00°, β = 90.00° and γ = 90.00°. The distinct sites, in fractional coordinates, are Sm at (0.000, 0.225, 0.250), Y at (0.000, 0.237, 0.750), Er at (0.197, 0.000, 0.000) and Sc at (0.000, 0.489, 0.250).

Its crystal system is orthorhombic. The calculated formation energy is 31.97 kJ/mol of atoms. The value obtained for the total DFT energy (no corrections) is -4.9967 eV per atom.

Material: BaZr2Cl
Method: DFT, PBE-GGA
State: relaxed

It has space group P4mm (No. 99), with a = 3.387 Å, b = 3.387 Å, c = 9.861 Å, α = 90.00°, β = 90.00° and γ = 90.00°. The distinct sites, in fractional coordinates, are Ba at (0.000, 0.000, 0.000), Zr at (0.000, 0.000, 0.474), Zr at (0.500, 0.500, 0.670) and Cl at (0.500, 0.500, 0.228).

Its crystal system is tetragonal. Its energy relative to the lowest polymorph listed for this composition is 0 meV/atom. The value obtained for the total DFT energy (no corrections) is -5.5269 eV per atom.

Material: ScIr2
Method: DFT, PBE-GGA
State: relaxed

It has space group Pa-3 (No. 205), with a = 6.215 Å, b = 6.215 Å, c = 6.215 Å, α = 90.00°, β = 90.00° and γ = 90.00°. The distinct sites, in fractional coordinates, are Sc at (0.000, 0.000, 0.000) and Ir at (0.113, 0.613, 0.887).

Its crystal system is cubic. The calculated formation energy is 57.06 kJ/mol of atoms. The value obtained for the total DFT energy (no corrections) is -7.4265 eV per atom.

Material: Sr2Li6Au3
Method: DFT, PBE-GGA
State: relaxed

It has space group P-62m (No. 189), with a = 8.2916 Å, b = 8.2916 Å, c = 4.2370 Å, α = 90.00°, β = 90.00° and γ = 120.00°. The distinct sites, in fractional coordinates, are Sr at (0.3333, 0.6667, 0.0000), Li at (0.0000, 0.2788, 0.5000), Li at (0.0000, 0.7990, 0.0000) and Au at (0.0000, 0.6175, 0.5000).

Its crystal system is hexagonal. The calculated formation energy is -40.26 kJ/mol of atoms. The value obtained for the total DFT energy (no corrections) is -2.6608 eV per atom.

Material: CsIn2PdI8
Method: DFT, PBE-GGA
State: relaxed

It has space group R32 (No. 155, hexagonal axes), with a = 7.4605 Å, b = 7.4605 Å, c = 34.3790 Å, α = 90.00°, β = 90.00° and γ = 120.00°. The distinct sites, in fractional coordinates, are Cs at (0.0000, 0.0000, 0.0000), In at (0.0000, 0.0000, 0.2470), Pd at (0.0000, 0.0000, 0.5000), I at (0.0000, 0.0000, 0.3278) and I at (0.0117, 0.3098, 0.5572).

Its crystal system is trigonal. The value obtained for the total DFT energy (no corrections) is -2.5168 eV per atom.